Ba11Cd6Sb12: optimized geometry, PBEsol.

The value obtained for the theoretical density is 5.9 Mg/m³. The calculation puts the final energy at -109.85 eV for the cell shown.

Lattice parameters (Å, degrees): 17.1569 17.1569 13.1209 109.47 109.47 16.37
Closest atoms and distances in Å follow each position.
Sites, in units of the cell vectors:
Ba  0.0000  0.0000  0.0000  6 Sb 3.47-3.56
Ba  0.0183  0.0183  0.6790  6 Sb 3.48-3.62, 4 Cd 3.57-3.63
Ba  0.1133  0.1133  0.5090  6 Sb 3.39-3.55, 1 Cd 3.48
Ba  0.1262  0.1262  0.0200  6 Sb 3.42-3.64
Ba  0.1992  0.1992  0.3470  6 Sb 3.47-3.68, 2 Cd 3.79
Ba  0.2801  0.2801  0.1344  4 Sb 3.37-3.53, 2 Cd 3.52
Ba  0.7199  0.7199  0.8656  4 Sb 3.37-3.53, 2 Cd 3.52
Ba  0.8008  0.8008  0.6530  6 Sb 3.47-3.68, 2 Cd 3.79
Ba  0.8738  0.8738  0.9800  6 Sb 3.42-3.64
Ba  0.8867  0.8867  0.4910  6 Sb 3.39-3.55, 1 Cd 3.48
Ba  0.9817  0.9817  0.3210  6 Sb 3.48-3.62, 4 Cd 3.57-3.63
Cd  0.2181  0.2181  0.6713  4 Sb 2.88-3.20
Cd  0.4001  0.4001  0.2559  4 Sb 2.88-3.09
Cd  0.4544  0.4544  0.7568  3 Sb 2.82-3.01
Cd  0.5456  0.5456  0.2432  3 Sb 2.82-3.01
Cd  0.5999  0.5999  0.7441  4 Sb 2.88-3.09
Cd  0.7819  0.7819  0.3287  4 Sb 2.88-3.20
Sb  0.0862  0.0862  0.2355  2 Cd 2.82
Sb  0.1476  0.1476  0.7830  3 Cd 2.88-3.20
Sb  0.2938  0.2938  0.8562  1 Cd 2.88
Sb  0.3076  0.3076  0.4562  2 Cd 2.92
Sb  0.4531  0.4531  0.1206  2 Cd 2.92-3.01
Sb  0.4578  0.4578  0.4951  1 Sb 2.83, 1 Cd 3.09
Sb  0.5422  0.5422  0.5049  1 Sb 2.83, 1 Cd 3.09
Sb  0.5469  0.5469  0.8794  2 Cd 2.92-3.01
Sb  0.6924  0.6924  0.5438  2 Cd 2.92
Sb  0.7062  0.7062  0.1438  1 Cd 2.88
Sb  0.8524  0.8524  0.2170  3 Cd 2.88-3.20
Sb  0.9138  0.9138  0.7645  2 Cd 2.82


AlCuBr2: optimized geometry, PBEsol.

The value obtained for the theoretical density is 4.7 Mg/m³. The calculation puts the final energy at -12.44 eV for the cell shown.

Lattice parameters (Å, degrees): 7.7187 7.7187 7.7187 27.96 27.96 27.96
Closest atoms and distances in Å follow each position.
Sites, in units of the cell vectors:
Al  0.0000  0.0000  0.0000  6 Br 3.11
Cu  0.5000  0.5000  0.5000  6 Br 2.60
Br  0.2325  0.2325  0.2325  3 Cu 2.60
Br  0.7675  0.7675  0.7675  3 Cu 2.60


Mo15Se19: optimized geometry, PBEsol.

The value obtained for the theoretical density is 6.5 Mg/m³. For the polymorph energy (0 for the lowest one), the calculation gives 0.0054 eV/atom. The calculation puts the final energy at -534.42 eV for the cell shown.

Lattice parameters (Å, degrees): 20.3019 20.3019 20.3019 26.85 26.85 26.85
Closest atoms and distances in Å follow each position.
Sites, in units of the cell vectors:
Mo  0.0033  0.1295  0.8071  5 Se 2.52-2.60, 4 Mo 2.65-2.80
Mo  0.0405  0.3675  0.2250  5 Se 2.52-2.70, 4 Mo 2.68-2.81
Mo  0.0875  0.2500  0.4125  4 Se 2.51-2.57, 4 Mo 2.65-2.70
Mo  0.1295  0.8071  0.0033  5 Se 2.52-2.60, 4 Mo 2.65-2.80
Mo  0.1325  0.4595  0.2750  5 Se 2.52-2.70, 4 Mo 2.68-2.81
Mo  0.1929  0.9967  0.8705  5 Se 2.52-2.60, 4 Mo 2.65-2.80
Mo  0.2250  0.0405  0.3675  5 Se 2.52-2.70, 4 Mo 2.68-2.81
Mo  0.2500  0.4125  0.0875  4 Se 2.51-2.57, 4 Mo 2.65-2.70
Mo  0.2750  0.1325  0.4595  5 Se 2.52-2.70, 4 Mo 2.68-2.81
Mo  0.3071  0.6295  0.5033  5 Se 2.52-2.60, 4 Mo 2.65-2.80
Mo  0.3675  0.2250  0.0405  5 Se 2.52-2.70, 4 Mo 2.68-2.81
Mo  0.3705  0.4966  0.6929  5 Se 2.52-2.60, 4 Mo 2.65-2.80
Mo  0.4125  0.0875  0.2500  4 Se 2.51-2.57, 4 Mo 2.65-2.70
Mo  0.4595  0.2750  0.1325  5 Se 2.52-2.70, 4 Mo 2.68-2.81
Mo  0.4966  0.6929  0.3705  5 Se 2.52-2.60, 4 Mo 2.65-2.80
Mo  0.5033  0.3071  0.6295  5 Se 2.52-2.60, 4 Mo 2.65-2.80
Mo  0.5405  0.7250  0.8675  5 Se 2.52-2.70, 4 Mo 2.68-2.81
Mo  0.5875  0.9125  0.7500  4 Se 2.51-2.57, 4 Mo 2.65-2.70
Mo  0.6295  0.5033  0.3071  5 Se 2.52-2.60, 4 Mo 2.65-2.80
Mo  0.6325  0.7750  0.9595  5 Se 2.52-2.70, 4 Mo 2.68-2.81
Mo  0.6929  0.3705  0.4967  5 Se 2.52-2.60, 4 Mo 2.65-2.80
Mo  0.7250  0.8675  0.5405  5 Se 2.52-2.70, 4 Mo 2.68-2.81
Mo  0.7500  0.5875  0.9125  4 Se 2.51-2.57, 4 Mo 2.65-2.70
Mo  0.7750  0.9595  0.6325  5 Se 2.52-2.70, 4 Mo 2.68-2.81
Mo  0.8071  0.0033  0.1295  5 Se 2.52-2.60, 4 Mo 2.65-2.80
Mo  0.8675  0.5405  0.7250  5 Se 2.52-2.70, 4 Mo 2.68-2.81
Mo  0.8705  0.1929  0.9966  5 Se 2.52-2.60, 4 Mo 2.65-2.80
Mo  0.9125  0.7500  0.5875  4 Se 2.51-2.57, 4 Mo 2.65-2.70
Mo  0.9595  0.6325  0.7750  5 Se 2.52-2.70, 4 Mo 2.68-2.81
Mo  0.9966  0.8705  0.1929  5 Se 2.52-2.60, 4 Mo 2.65-2.80
Se  0.0438  0.6840  0.4173  4 Mo 2.51-2.60
Se  0.0542  0.0542  0.0542  3 Mo 2.52
Se  0.0561  0.3079  0.6832  4 Mo 2.54-2.60
Se  0.0647  0.4353  0.7500  4 Mo 2.57-2.70
Se  0.0827  0.8160  0.4562  4 Mo 2.51-2.60
Se  0.1770  0.1770  0.1770  3 Mo 2.52
Se  0.1832  0.8079  0.5561  4 Mo 2.54-2.60
Se  0.1840  0.5438  0.9173  4 Mo 2.51-2.60
Se  0.1921  0.4439  0.8168  4 Mo 2.54-2.60
Se  0.2500  0.9353  0.5647  4 Mo 2.57-2.70
Se  0.3079  0.6832  0.0561  4 Mo 2.54-2.60
Se  0.3160  0.5827  0.9562  4 Mo 2.51-2.60
Se  0.3168  0.9439  0.6921  4 Mo 2.54-2.60
Se  0.3230  0.3230  0.3230  3 Mo 2.52
Se  0.4173  0.0438  0.6840  4 Mo 2.51-2.60
Se  0.4353  0.7500  0.0647  4 Mo 2.57-2.70
Se  0.4439  0.8168  0.1921  4 Mo 2.54-2.60
Se  0.4458  0.4458  0.4458  3 Mo 2.52
Se  0.4562  0.0827  0.8160  4 Mo 2.51-2.60
Se  0.5438  0.9173  0.1840  4 Mo 2.51-2.60
Se  0.5542  0.5542  0.5542  3 Mo 2.52
Se  0.5561  0.1832  0.8079  4 Mo 2.54-2.60
Se  0.5647  0.2500  0.9353  4 Mo 2.57-2.70
Se  0.5827  0.9562  0.3160  4 Mo 2.51-2.60
Se  0.6770  0.6770  0.6770  3 Mo 2.52
Se  0.6832  0.0561  0.3079  4 Mo 2.54-2.60
Se  0.6840  0.4173  0.0438  4 Mo 2.51-2.60
Se  0.6921  0.3168  0.9439  4 Mo 2.54-2.60
Se  0.7500  0.0647  0.4353  4 Mo 2.57-2.70
Se  0.8079  0.5561  0.1832  4 Mo 2.54-2.60
Se  0.8160  0.4562  0.0827  4 Mo 2.51-2.60
Se  0.8168  0.1921  0.4439  4 Mo 2.54-2.60
Se  0.8230  0.8230  0.8230  3 Mo 2.52
Se  0.9173  0.1840  0.5438  4 Mo 2.51-2.60
Se  0.9353  0.5647  0.2500  4 Mo 2.57-2.70
Se  0.9439  0.6921  0.3168  4 Mo 2.54-2.60
Se  0.9458  0.9458  0.9458  3 Mo 2.52
Se  0.9562  0.3160  0.5827  4 Mo 2.51-2.60


SmDy3: optimized geometry, PBEsol.

The value obtained for the theoretical density is 8.7 Mg/m³. The calculation puts the formation energy at 0.02 eV per atom. For the polymorph energy (0 for the lowest one), the calculation gives 0.0062 eV/atom. The calculation puts the final energy at -39.91 eV for the cell shown.

Lattice parameters (Å, degrees): 7.0846 7.0846 5.5867 90.00 90.00 120.00
Closest atoms and distances in Å follow each position.
Sites, in units of the cell vectors:
Sm  0.3333  0.6667  0.2500  12 Dy 3.46-3.54
Sm  0.6667  0.3333  0.7500  12 Dy 3.46-3.54
Dy  0.1664  0.3328  0.7500  8 Dy 3.46-3.55, 4 Sm 3.46-3.54
Dy  0.1664  0.8336  0.7500  8 Dy 3.46-3.55, 4 Sm 3.46-3.54
Dy  0.3328  0.1664  0.2500  8 Dy 3.46-3.55, 4 Sm 3.46-3.54
Dy  0.6672  0.8336  0.7500  8 Dy 3.46-3.55, 4 Sm 3.46-3.54
Dy  0.8336  0.1664  0.2500  8 Dy 3.46-3.55, 4 Sm 3.46-3.54
Dy  0.8336  0.6672  0.2500  8 Dy 3.46-3.55, 4 Sm 3.46-3.54


K2HfBiAs: optimized geometry, PBEsol.

The value obtained for the theoretical density is 5.2 Mg/m³. The calculation puts the formation energy at 0.21 eV per atom. The calculation puts the final energy at -21.12 eV for the cell shown.

Lattice parameters (Å, degrees): 5.8549 5.8549 5.0648 90.00 90.00 90.00
Closest atoms and distances in Å follow each position.
Sites, in units of the cell vectors:
K  0.0000  0.5000  0.0000  2 As 2.93
K  0.5000  0.0000  0.0000  2 As 2.93
Hf  0.0000  0.0000  0.5000  2 As 2.53
Bi  0.5000  0.5000  0.5000  8 K 3.87, 4 Hf 4.14
As  0.0000  0.0000  0.0000  2 Hf 2.53


SrFeTc2Ag: optimized geometry, PBEsol.

The value obtained for the theoretical density is 6.6 Mg/m³. The calculation puts the formation energy at 2.92 eV per atom. The calculation puts the final energy at -22.06 eV for the cell shown.

Lattice parameters (Å, degrees): 4.7270 4.7270 5.0183 90.00 90.00 90.00
Closest atoms and distances in Å follow each position.
Sites, in units of the cell vectors:
Sr  0.0000  0.0000  0.0000  4 Tc 2.36, 2 Ag 2.51
Fe  0.5000  0.5000  0.5000  4 Ag 3.34, 8 Tc 3.45
Tc  0.0000  0.5000  0.0000  2 Sr 2.36
Tc  0.5000  0.0000  0.0000  2 Sr 2.36
Ag  0.0000  0.0000  0.5000  2 Sr 2.51


BaZrAl: optimized geometry, PBEsol.

The value obtained for the theoretical density is 4.8 Mg/m³. The calculation puts the formation energy at 0.20 eV per atom. The calculation puts the final energy at -14.72 eV for the cell shown.

Lattice parameters (Å, degrees): 6.6299 6.6299 6.6299 146.64 146.64 47.89
Closest atoms and distances in Å follow each position.
Sites, in units of the cell vectors:
Ba  0.0000  0.0000  0.0000  1 Zr 3.38, 5 Al 3.52-3.70
Zr  0.7213  0.7213  0.0000  4 Al 2.82
Al  0.2909  0.2909  0.0000  4 Zr 2.82


MnIO2F: optimized geometry, PBEsol.

The value obtained for the theoretical density is 4.4 Mg/m³. The calculation puts the final energy at -23.83 eV for the cell shown.

Lattice parameters (Å, degrees): 4.0033 4.0033 5.4534 90.00 90.00 90.00
Closest atoms and distances in Å follow each position.
Sites, in units of the cell vectors:
Mn  0.0000  0.0000  0.0000  4 F 2.83
I  0.5000  0.5000  0.5000  4 O 2.00
O  0.0000  0.5000  0.5000  2 I 2.00
O  0.5000  0.0000  0.5000  2 I 2.00
F  0.5000  0.5000  0.0000  2 I 2.73, 4 Mn 2.83